(1)
Material: Bi13O20
Method: DFT, GGA-PBEsol
State: optimized geometry

Properties
Raw formation energy: -39.18 eV per formula unit
Raw total energy: -6.057 eV per atom
Total magnetization: 0.032 μB per atom
Space group: I23 (197)
Calculated density: 9.4 g cm⁻³

a b c (Å): 8.8549 8.8549 8.8549
angles (deg): 109.47 109.47 109.47
Closest atoms and distances in Å follow each position.
Fractional positions:
Bi1 0.8117 0.3091 0.1475  3 O 2.11-2.25
Bi2 0.6642 0.8525 0.1616  3 O 2.11-2.25
Bi3 0.5026 0.8384 0.6909  3 O 2.11-2.25
Bi4 0.0000 0.0000 0.0000  4 O 2.14
Bi5 0.4974 0.1883 0.3358  3 O 2.11-2.25
Bi6 0.1616 0.6642 0.8525  3 O 2.11-2.25
Bi7 0.3091 0.1475 0.8117  3 O 2.11-2.25
Bi8 0.3358 0.4974 0.1883  3 O 2.11-2.25
Bi9 0.1475 0.8117 0.3091  3 O 2.11-2.25
Bi10 0.8384 0.6909 0.5026  3 O 2.11-2.25
Bi11 0.8525 0.1616 0.6642  3 O 2.11-2.25
Bi12 0.1883 0.3358 0.4974  3 O 2.11-2.25
Bi13 0.6909 0.5026 0.8384  3 O 2.11-2.25
O1 0.7544 0.1156 0.3749  2 Bi 2.11-2.25
O2 0.0000 0.0000 0.2421  1 Bi 2.14
O3 0.0000 0.2421 0.0000  1 Bi 2.14
O4 0.8844 0.6388 0.2594  2 Bi 2.11-2.25
O5 0.0000 0.6304 0.0000  3 Bi 2.25
O6 0.0000 0.0000 0.6304  3 Bi 2.25
O7 0.6205 0.3612 0.2456  2 Bi 2.11-2.25
O8 0.7406 0.3795 0.6251  2 Bi 2.11-2.25
O9 0.6388 0.2594 0.8844  2 Bi 2.11-2.25
O10 0.7579 0.7579 0.7579  1 Bi 2.14
O11 0.6251 0.7406 0.3795  2 Bi 2.11-2.25
O12 0.3696 0.3696 0.3696  3 Bi 2.25
O13 0.3749 0.7544 0.1156  2 Bi 2.11-2.25
O14 0.3612 0.2456 0.6205  2 Bi 2.11-2.25
O15 0.3795 0.6251 0.7406  2 Bi 2.11-2.25
O16 0.2456 0.6205 0.3612  2 Bi 2.11-2.25
O17 0.2594 0.8844 0.6388  2 Bi 2.11-2.25
O18 0.1156 0.3749 0.7544  2 Bi 2.11-2.25
O19 0.6304 0.0000 0.0000  3 Bi 2.25
O20 0.2421 0.0000 0.0000  1 Bi 2.14



(2)
Material: TcNiP2
Method: DFT, GGA-PBEsol
State: optimized geometry

Properties
Raw total energy: -7.576 eV per atom
Total magnetization: 0.000 μB per atom
Space group: P4/mmm (123)
ΔE to the lowest computed polymorph: 0.112 eV/atom
Calculated formation energy: -7.5 kcal/mol of atoms
Calculated density: 7.7 g cm⁻³

a b c (Å): 2.9511 2.9511 5.4419
angles (deg): 90.00 90.00 90.00
Closest atoms and distances in Å follow each position.
Fractional positions:
Ni1 0.5000 0.5000 0.5000  8 P 2.47, 2 Tc 2.72
P1 0.0000 0.0000 0.7416  4 Ni 2.47, 4 Tc 2.52, 1 P 2.63
P2 0.0000 0.0000 0.2584  4 Ni 2.47, 4 Tc 2.52, 1 P 2.63
Tc1 0.5000 0.5000 0.0000  8 P 2.52, 2 Ni 2.72



(3)
Material: BaCoRu2
Method: DFT, GGA-PBEsol
State: optimized geometry

Properties
Raw total energy: -6.658 eV per atom
Total magnetization: 0.723 μB per atom
Space group: P2/m (10)
ΔE to the lowest computed polymorph: 0.226 eV/atom
Calculated formation energy: 20.8 kcal/mol of atoms
Calculated density: 8.8 g cm⁻³

a b c (Å): 2.9084 3.9956 6.5509
angles (deg): 90.00 99.44 90.00
Closest atoms and distances in Å follow each position.
Fractional positions:
Ru1 0.7731 0.0000 0.6630  2 Co 2.41, 2 Ru 2.44-2.69
Ru2 0.2269 0.0000 0.3370  2 Co 2.41, 2 Ru 2.44-2.69
Co1 0.0000 0.5000 0.5000  4 Ru 2.41
Ba1 0.5000 0.5000 0.0000  2 Ba 2.91, 4 Ru 3.17